[1]
# Tb2CeNdS4 (GGA-PBE, relaxed)
data_Tb2CeNdS4
_chemical_formula_sum 'Tb2 Ce1 Nd1 S4'
_space_group_name_H-M_alt 'P 1'
_space_group_IT_number 1
_space_group_name_Hall 'P 1'
_cell_length_a 3.9628
_cell_length_b 6.8848
_cell_length_c 6.9575
_cell_angle_alpha 109.17
_cell_angle_beta 90.00
_cell_angle_gamma 90.00
loop_
_atom_site_label
_atom_site_fract_x
_atom_site_fract_y
_atom_site_fract_z
Tb1 0.5000 0.0000 0.5000
Tb2 0.0000 0.5000 0.5000
Ce1 0.5000 0.5000 0.0000
Nd1 0.0000 0.0000 0.0000
S1 0.5000 0.2557 0.2618
S2 0.5000 0.7443 0.7382
S3 0.0000 0.2479 0.7393
S4 0.0000 0.7521 0.2607
# Uncorrected formation energy   -2030.1 meV/atom

***

[2]
# Er8AgPt2 (GGA-PBE, relaxed)
data_Er8AgPt2
_chemical_formula_sum 'Er8 Ag1 Pt2'
_space_group_name_H-M_alt 'P 1'
_space_group_IT_number 1
_space_group_name_Hall 'P 1'
_cell_length_a 5.5245
_cell_length_b 7.8229
_cell_length_c 7.8229
_cell_angle_alpha 114.21
_cell_angle_beta 98.33
_cell_angle_gamma 98.33
loop_
_atom_site_label
_atom_site_fract_x
_atom_site_fract_y
_atom_site_fract_z
Er1 0.5900 0.3340 0.0809
Er2 0.5900 0.0809 0.3340
Er3 0.1896 0.3814 0.3814
Er4 0.9999 0.2403 0.7657
Er5 0.9999 0.7657 0.2403
Er6 0.8105 0.6249 0.6249
Er7 0.4098 0.9252 0.6721
Er8 0.4098 0.6721 0.9252
Ag1 0.0001 0.0031 0.0031
Pt1 0.4999 0.6984 0.3078
Pt2 0.4999 0.3078 0.6984
# Energy relative to the elements   -462.4 meV per atom

***

[3]
# MgPaSb2 (GGA-PBE, relaxed)
data_MgPaSb2
_chemical_formula_sum 'Mg1 Pa1 Sb2'
_space_group_name_H-M_alt 'P 1'
_space_group_IT_number 1
_space_group_name_Hall 'P 1'
_cell_length_a 5.2543
_cell_length_b 5.2543
_cell_length_c 5.2543
_cell_angle_alpha 60.00
_cell_angle_beta 60.00
_cell_angle_gamma 60.00
loop_
_atom_site_label
_atom_site_fract_x
_atom_site_fract_y
_atom_site_fract_z
Sb1 0.2500 0.2500 0.2500
Sb2 0.7500 0.7500 0.7500
Mg1 0.5000 0.5000 0.5000
Pa1 0.0000 0.0000 0.0000
# Uncorrected formation energy   -239.4 meV/atom
# Energy relative to the lowest polymorph listed for this composition   20.11 kJ/mol of atoms